Record 1
Computed, not measured: a relaxed NbSiSnBr2 crystal at the GGA-PBE level of DFT.

abc: 5.0828 5.0828 5.2649
angles: 90.00 90.00 90.00
Sites, in units of the cell vectors:
Nb  0.0000  0.0000  0.0000
Si  0.0000  0.0000  0.5000
Sn  0.5000  0.5000  0.5000
Br  0.0000  0.5000  0.0000
Br  0.5000  0.0000  0.0000

## Properties
- V (Å³/cell) = 136.0
- crystal system = tetragonal
- formation energy from raw total energies (eV/atom) = 0.317
- total energy (eV/atom) = -4.252

Record 2
Computed, not measured: a relaxed TaNb2SiBr crystal at the GGA-PBE level of DFT.

abc: 5.0144 5.0144 4.8125
angles: 90.00 90.00 90.00
Sites, in units of the cell vectors:
Ta  0.0000  0.0000  0.0000
Nb  0.0000  0.5000  0.0000
Nb  0.5000  0.0000  0.0000
Si  0.0000  0.0000  0.5000
Br  0.5000  0.5000  0.5000

## Properties
- V (Å³/cell) = 121.0
- crystal system = tetragonal
- formation energy from raw total energies (eV/atom) = 1.294
- total energy (eV/atom) = -6.523